1.
# Co2NiAg | Alexandria | meta-GGA SCAN | single point on PBEsol structure
# DFT total energy	-80.9	eV per formula unit
# formation energy	311	meV/atom
# density of states at the Fermi level	2.4	states/eV/f.u.
# relative energy among the computed polymorphs	9.1	kJ/mol of atoms
# total moment	4.4	μB/f.u.
# ρ	9.9	g/cm3
data_Co2NiAg
_chemical_formula_sum 'Co4 Ni2 Ag2'
_space_group_name_H-M_alt 'I -4 m 2'
_space_group_IT_number 119
_space_group_name_Hall 'I -4 -2'
_cell_length_a 3.659
_cell_length_b 3.659
_cell_length_c 7.130
_cell_angle_alpha 90.00
_cell_angle_beta 90.00
_cell_angle_gamma 90.00
loop_
_atom_site_label
_atom_site_type_symbol
_atom_site_fract_x
_atom_site_fract_y
_atom_site_fract_z
Co1 Co 0.000 0.000 0.000
Co2 Co 0.000 0.500 0.250
Ni1 Ni 0.000 0.000 0.500
Ag1 Ag 0.000 0.500 0.750


2.
# Co2NiAg | Alexandria | meta-GGA SCAN | single point on PBEsol structure
# DFT total energy	-80.8	eV per formula unit
# formation energy	344	meV/atom
# density of states at the Fermi level	2.6	states/eV/f.u.
# relative energy among the computed polymorphs	12.2	kJ/mol of atoms
# total moment	4.4	μB/f.u.
# ρ	9.8	g/cm3
data_Co2NiAg
_chemical_formula_sum 'Co4 Ni2 Ag2'
_space_group_name_H-M_alt 'C m m m'
_space_group_IT_number 65
_space_group_name_Hall '-C 2 2'
_cell_length_a 5.055
_cell_length_b 7.454
_cell_length_c 2.552
_cell_angle_alpha 90.00
_cell_angle_beta 90.00
_cell_angle_gamma 90.00
loop_
_atom_site_label
_atom_site_type_symbol
_atom_site_fract_x
_atom_site_fract_y
_atom_site_fract_z
Co1 Co 0.250 0.250 0.000
Ni1 Ni 0.000 0.000 0.500
Ag1 Ag 0.000 0.500 0.500


3.
# CoNiAg2 | Alexandria | meta-GGA SCAN | single point on PBEsol structure
# DFT total energy	-94.6	eV per formula unit
# formation energy	409	meV/atom
# density of states at the Fermi level	2.5	states/eV/f.u.
# relative energy among the computed polymorphs	9.7	kJ/mol of atoms
# total moment	2.7	μB/f.u.
# ρ	10.2	g/cm3
data_CoNiAg2
_chemical_formula_sum 'Co1 Ni1 Ag2'
_space_group_name_H-M_alt 'P 4/m m m'
_space_group_IT_number 123
_space_group_name_Hall '-P 4 2'
_cell_length_a 3.784
_cell_length_b 3.784
_cell_length_c 3.788
_cell_angle_alpha 90.00
_cell_angle_beta 90.00
_cell_angle_gamma 90.00
loop_
_atom_site_label
_atom_site_type_symbol
_atom_site_fract_x
_atom_site_fract_y
_atom_site_fract_z
Co1 Co 0.000 0.000 0.000
Ni1 Ni 0.500 0.500 0.000
Ag1 Ag 0.000 0.500 0.500


4.
# Co2NiAg | Alexandria | meta-GGA SCAN | single point on PBEsol structure
# DFT total energy	-80.5	eV per formula unit
# formation energy	403	meV/atom
# density of states at the Fermi level	3.6	states/eV/f.u.
# relative energy among the computed polymorphs	17.9	kJ/mol of atoms
# total moment	4.5	μB/f.u.
# ρ	9.8	g/cm3
data_Co2NiAg
_chemical_formula_sum 'Co8 Ni4 Ag4'
_space_group_name_H-M_alt 'F m -3 m'
_space_group_IT_number 225
_space_group_name_Hall '-F 4 2 3'
_cell_length_a 5.785
_cell_length_b 5.785
_cell_length_c 5.785
_cell_angle_alpha 90.00
_cell_angle_beta 90.00
_cell_angle_gamma 90.00
loop_
_atom_site_label
_atom_site_type_symbol
_atom_site_fract_x
_atom_site_fract_y
_atom_site_fract_z
Co1 Co 0.250 0.250 0.250
Ni1 Ni 0.000 0.000 0.000
Ag1 Ag 0.000 0.000 0.500